No. 1
{"formula": "Cr2FeCl", "functional": "PBE", "state": "relaxed", "de_polymorph_mev_per_atom": 224, "crystal_system": "trigonal", "raw_formation_energy_ev_per_atom": 0.448, "sg": "R-3m, No. 166", "dft_energy_ev_per_cell": -27.76, "m_tot_mub_per_fu": 0.062, "lattice_angstrom": [[1.3663, 0.7888, 7.7103], [-1.3663, 0.7888, 7.7103], [0.0000, -1.5777, 7.7103]], "species": ["Cr", "Cr", "Fe", "Cl"], "fractional_positions": [[0.2502, 0.2502, 0.2502], [0.7498, 0.7498, 0.7498], [0.0000, 0.0000, 0.0000], [0.5000, 0.5000, 0.5000]]}

---

No. 2
{"formula": "CrFe2Cl", "functional": "PBE", "state": "relaxed", "de_polymorph_mev_per_atom": 654, "crystal_system": "tetragonal", "raw_formation_energy_ev_per_atom": 0.845, "sg": "I-42d, No. 122", "dft_energy_ev_per_cell": -50.03, "m_tot_mub_per_fu": 1.080, "lattice_angstrom": [[-2.6620, 2.6620, 4.6759], [2.6620, -2.6620, 4.6759], [2.6620, 2.6620, -4.6759]], "species": ["Cr", "Cr", "Fe", "Fe", "Fe", "Fe", "Cl", "Cl"], "fractional_positions": [[0.0000, 0.0000, 0.0000], [0.7500, 0.2500, 0.5000], [0.1194, 0.6250, 0.9944], [0.3750, 0.3694, 0.4944], [0.6306, 0.1250, 0.0056], [0.8750, 0.8806, 0.5056], [0.2500, 0.7500, 0.5000], [0.5000, 0.5000, 0.0000]]}

---

No. 3
{"formula": "Cr2FeCl", "functional": "PBE", "state": "relaxed", "de_polymorph_mev_per_atom": 470, "crystal_system": "orthorhombic", "raw_formation_energy_ev_per_atom": 0.693, "sg": "Pmmm, No. 47", "dft_energy_ev_per_cell": -26.78, "m_tot_mub_per_fu": 2.493, "lattice_angstrom": [[2.9555, 0.0000, 0.0000], [0.0000, 4.2460, 0.0000], [0.0000, 0.0000, 4.3481]], "species": ["Cr", "Cr", "Fe", "Cl"], "fractional_positions": [[0.0000, 0.0000, 0.0000], [0.5000, 0.5000, 0.0000], [0.0000, 0.5000, 0.5000], [0.5000, 0.0000, 0.5000]]}

---

No. 4
{"formula": "Cr2FeCl", "functional": "PBE", "state": "relaxed", "de_polymorph_mev_per_atom": 383, "crystal_system": "orthorhombic", "raw_formation_energy_ev_per_atom": 0.606, "sg": "Imm2, No. 44", "dft_energy_ev_per_cell": -27.13, "m_tot_mub_per_fu": 0.148, "lattice_angstrom": [[-1.3675, 2.0706, 4.2506], [1.3675, -2.0706, 4.2506], [1.3675, 2.0706, -4.2506]], "species": ["Cr", "Cr", "Fe", "Cl"], "fractional_positions": [[0.0000, 0.0000, 0.0000], [0.7173, 0.2173, 0.5000], [0.4552, 0.4552, 0.0000], [0.2226, 0.7226, 0.5000]]}

---

No. 5
{"formula": "CrFeCl2", "functional": "PBE", "state": "relaxed", "de_polymorph_mev_per_atom": 328, "crystal_system": "trigonal", "raw_formation_energy_ev_per_atom": 0.172, "sg": "R-3m, No. 166", "dft_energy_ev_per_cell": -21.09, "m_tot_mub_per_fu": 8.080, "lattice_angstrom": [[1.6807, 0.9703, 7.4189], [-1.6807, 0.9703, 7.4189], [0.0000, -1.9407, 7.4189]], "species": ["Cr", "Fe", "Cl", "Cl"], "fractional_positions": [[0.0000, 0.0000, 0.0000], [0.5000, 0.5000, 0.5000], [0.2389, 0.2389, 0.2389], [0.7611, 0.7611, 0.7611]]}

---

No. 6
{"formula": "CrFe2Cl8", "functional": "PBE", "state": "relaxed", "crystal_system": "monoclinic", "raw_formation_energy_ev_per_atom": -0.849, "sg": "C2/m, No. 12", "dft_energy_ev_per_cell": -50.66, "m_tot_mub_per_fu": 12.000, "lattice_angstrom": [[6.9294, -3.9414, 0.0000], [6.9294, 3.9414, 0.0000], [-0.0819, 0.0000, 5.9797]], "species": ["Cr", "Fe", "Fe", "Cl", "Cl", "Cl", "Cl", "Cl", "Cl", "Cl", "Cl"], "fractional_positions": [[0.0000, 0.0000, 0.0000], [0.1576, 0.1576, 0.4009], [0.8424, 0.8424, 0.5991], [0.1414, 0.7169, 0.7719], [0.1440, 0.1440, 0.7795], [0.2831, 0.8586, 0.2281], [0.3082, 0.3082, 0.3233], [0.6918, 0.6918, 0.6767], [0.7169, 0.1414, 0.7719], [0.8560, 0.8560, 0.2205], [0.8586, 0.2831, 0.2281]]}

---

No. 7
{"formula": "Cr2FeCl", "functional": "PBE", "state": "relaxed", "de_polymorph_mev_per_atom": 216, "crystal_system": "tetragonal", "raw_formation_energy_ev_per_atom": 0.439, "sg": "P4/mmm, No. 123", "dft_energy_ev_per_cell": -27.80, "m_tot_mub_per_fu": 0.064, "lattice_angstrom": [[2.7645, 0.0000, 0.0000], [0.0000, 2.7645, 0.0000], [0.0000, 0.0000, 6.2895]], "species": ["Cr", "Cr", "Fe", "Cl"], "fractional_positions": [[0.0000, 0.0000, 0.2433], [0.0000, 0.0000, 0.7567], [0.5000, 0.5000, 0.0000], [0.5000, 0.5000, 0.5000]]}

---

No. 8
{"formula": "CrFeCl2", "functional": "PBE", "state": "relaxed", "de_polymorph_mev_per_atom": 442, "crystal_system": "tetragonal", "raw_formation_energy_ev_per_atom": 0.285, "sg": "P4/mmm, No. 123", "dft_energy_ev_per_cell": -20.64, "m_tot_mub_per_fu": 7.886, "lattice_angstrom": [[4.5775, 0.0000, 0.0000], [0.0000, 4.5775, 0.0000], [0.0000, 0.0000, 3.2520]], "species": ["Cr", "Fe", "Cl", "Cl"], "fractional_positions": [[0.0000, 0.0000, 0.0000], [0.5000, 0.5000, 0.0000], [0.0000, 0.5000, 0.5000], [0.5000, 0.0000, 0.5000]]}

---

No. 9
{"formula": "Cr2FeCl", "functional": "PBE", "state": "relaxed", "de_polymorph_mev_per_atom": 466, "crystal_system": "orthorhombic", "raw_formation_energy_ev_per_atom": 0.690, "sg": "Immm, No. 71", "dft_energy_ev_per_cell": -26.80, "m_tot_mub_per_fu": 0.383, "lattice_angstrom": [[-1.3721, 2.0457, 4.1900], [1.3721, -2.0457, 4.1900], [1.3721, 2.0457, -4.1900]], "species": ["Cr", "Cr", "Fe", "Cl"], "fractional_positions": [[0.2272, 0.2272, 0.0000], [0.7728, 0.7728, 0.0000], [0.5000, 0.0000, 0.5000], [0.0000, 0.5000, 0.5000]]}

---

No. 10
{"formula": "CrFe2HgCl", "functional": "PBE", "state": "relaxed", "crystal_system": "tetragonal", "raw_formation_energy_ev_per_atom": 0.994, "sg": "P4/mmm, No. 123", "dft_energy_ev_per_cell": -23.73, "m_tot_mub_per_fu": 9.222, "lattice_angstrom": [[4.1522, 0.0000, 0.0000], [0.0000, 4.1522, 0.0000], [0.0000, 0.0000, 5.8436]], "species": ["Cr", "Fe", "Fe", "Hg", "Cl"], "fractional_positions": [[0.0000, 0.0000, 0.0000], [0.0000, 0.5000, 0.5000], [0.5000, 0.0000, 0.5000], [0.5000, 0.5000, 0.0000], [0.5000, 0.5000, 0.5000]]}

---

No. 11
{"formula": "CrFeI2Cl", "functional": "PBE", "state": "relaxed", "crystal_system": "tetragonal", "raw_formation_energy_ev_per_atom": 0.460, "sg": "P4/mmm, No. 123", "dft_energy_ev_per_cell": -20.73, "m_tot_mub_per_fu": 1.490, "lattice_angstrom": [[5.1348, 0.0000, 0.0000], [0.0000, 5.1348, 0.0000], [0.0000, 0.0000, 5.1627]], "species": ["Cr", "Fe", "I", "I", "Cl"], "fractional_positions": [[0.0000, 0.0000, 0.0000], [0.0000, 0.0000, 0.5000], [0.0000, 0.5000, 0.5000], [0.5000, 0.0000, 0.5000], [0.5000, 0.5000, 0.0000]]}

---

No. 12
{"formula": "CrInFe2Cl8", "functional": "PBE", "state": "relaxed", "crystal_system": "monoclinic", "raw_formation_energy_ev_per_atom": -0.803, "sg": "C2/m, No. 12", "dft_energy_ev_per_cell": -53.70, "m_tot_mub_per_fu": 11.186, "lattice_angstrom": [[5.1092, -3.5154, 0.0000], [5.1092, 3.5154, 0.0000], [-0.5882, 0.0000, 9.1850]], "species": ["Cr", "In", "Fe", "Fe", "Cl", "Cl", "Cl", "Cl", "Cl", "Cl", "Cl", "Cl"], "fractional_positions": [[0.0000, 0.0000, 0.0000], [0.0000, 0.0000, 0.5000], [0.3705, 0.3705, 0.2030], [0.6295, 0.6295, 0.7970], [0.2286, 0.7505, 0.8118], [0.2308, 0.2308, 0.9981], [0.2495, 0.7714, 0.1882], [0.3036, 0.3036, 0.4267], [0.6964, 0.6964, 0.5733], [0.7505, 0.2286, 0.8118], [0.7692, 0.7692, 0.0019], [0.7714, 0.2495, 0.1882]]}

---

No. 13
{"formula": "KCr2FeCl8", "functional": "PBE", "state": "relaxed", "crystal_system": "triclinic", "raw_formation_energy_ev_per_atom": -0.986, "sg": "P-1, No. 2", "dft_energy_ev_per_cell": -55.41, "m_tot_mub_per_fu": 10.709, "lattice_angstrom": [[6.0025, 0.0000, 0.0000], [0.5345, 6.2079, 0.0000], [0.0127, 0.0110, 7.6938]], "species": ["K", "Cr", "Cr", "Fe", "Cl", "Cl", "Cl", "Cl", "Cl", "Cl", "Cl", "Cl"], "fractional_positions": [[0.0000, 0.0000, 0.0000], [0.5001, 0.5001, 0.2624], [0.4999, 0.4999, 0.7376], [0.0000, 0.0000, 0.5000], [0.2497, 0.8195, 0.7128], [0.2501, 0.8198, 0.2870], [0.2817, 0.3465, 0.4998], [0.3037, 0.3675, 0.9995], [0.6963, 0.6325, 0.0005], [0.7183, 0.6535, 0.5002], [0.7499, 0.1802, 0.7130], [0.7503, 0.1805, 0.2872]]}

---

No. 14
{"formula": "KCrFeCl5", "functional": "PBE", "state": "relaxed", "crystal_system": "monoclinic", "raw_formation_energy_ev_per_atom": -1.094, "sg": "C2/c, No. 15", "dft_energy_ev_per_cell": -74.33, "m_tot_mub_per_fu": 7.992, "lattice_angstrom": [[4.4694, -5.7840, 0.0000], [4.4694, 5.7840, 0.0000], [-2.7218, 0.0000, 8.3603]], "species": ["K", "K", "Cr", "Cr", "Fe", "Fe", "Cl", "Cl", "Cl", "Cl", "Cl", "Cl", "Cl", "Cl", "Cl", "Cl"], "fractional_positions": [[0.1395, 0.8605, 0.7500], [0.8605, 0.1395, 0.2500], [0.5000, 0.5000, 0.0000], [0.5000, 0.5000, 0.5000], [0.1998, 0.8002, 0.2500], [0.8002, 0.1998, 0.7500], [0.0766, 0.2535, 0.9427], [0.1987, 0.5552, 0.3858], [0.2535, 0.0766, 0.4427], [0.4214, 0.5786, 0.7500], [0.4448, 0.8013, 0.1142], [0.5552, 0.1987, 0.8858], [0.5786, 0.4214, 0.2500], [0.7465, 0.9234, 0.5573], [0.8013, 0.4448, 0.6142], [0.9234, 0.7465, 0.0573]]}

---

No. 15
{"formula": "KCrFe2Cl8", "functional": "PBE", "state": "relaxed", "crystal_system": "trigonal", "raw_formation_energy_ev_per_atom": -0.994, "sg": "R-3, No. 148", "dft_energy_ev_per_cell": -54.35, "m_tot_mub_per_fu": 10.884, "lattice_angstrom": [[3.1066, 1.7936, 9.5848], [-3.1066, 1.7936, 9.5848], [0.0000, -3.5871, 9.5848]], "species": ["K", "Cr", "Fe", "Fe", "Cl", "Cl", "Cl", "Cl", "Cl", "Cl", "Cl", "Cl"], "fractional_positions": [[0.0000, 0.0000, 0.0000], [0.5000, 0.5000, 0.5000], [0.2378, 0.2378, 0.2378], [0.7622, 0.7622, 0.7622], [0.1492, 0.7668, 0.4382], [0.2332, 0.5618, 0.8508], [0.3153, 0.3153, 0.3153], [0.4382, 0.1492, 0.7668], [0.5618, 0.8508, 0.2332], [0.6847, 0.6847, 0.6847], [0.7668, 0.4382, 0.1492], [0.8508, 0.2332, 0.5618]]}

---

No. 16
{"formula": "NbCrFeCl2", "functional": "PBE", "state": "relaxed", "crystal_system": "tetragonal", "raw_formation_energy_ev_per_atom": 0.819, "sg": "P4/mmm, No. 123", "dft_energy_ev_per_cell": -27.75, "m_tot_mub_per_fu": 3.068, "lattice_angstrom": [[4.4423, 0.0000, 0.0000], [0.0000, 4.4423, 0.0000], [0.0000, 0.0000, 4.8125]], "species": ["Nb", "Cr", "Fe", "Cl", "Cl"], "fractional_positions": [[0.0000, 0.0000, 0.0000], [0.5000, 0.5000, 0.0000], [0.0000, 0.0000, 0.5000], [0.0000, 0.5000, 0.5000], [0.5000, 0.0000, 0.5000]]}

---

No. 17
{"formula": "CrFe2OsCl", "functional": "PBE", "state": "relaxed", "crystal_system": "tetragonal", "raw_formation_energy_ev_per_atom": 1.905, "sg": "P4/mmm, No. 123", "dft_energy_ev_per_cell": -30.10, "m_tot_mub_per_fu": 5.788, "lattice_angstrom": [[4.6242, 0.0000, 0.0000], [0.0000, 4.6242, 0.0000], [0.0000, 0.0000, 4.5120]], "species": ["Cr", "Fe", "Fe", "Os", "Cl"], "fractional_positions": [[0.0000, 0.0000, 0.0000], [0.0000, 0.5000, 0.5000], [0.5000, 0.0000, 0.5000], [0.5000, 0.5000, 0.5000], [0.5000, 0.5000, 0.0000]]}

---

No. 18
{"formula": "CrFePCl2", "functional": "PBE", "state": "relaxed", "de_polymorph_mev_per_atom": 0, "crystal_system": "tetragonal", "raw_formation_energy_ev_per_atom": 0.364, "sg": "P4/mmm, No. 123", "dft_energy_ev_per_cell": -25.37, "m_tot_mub_per_fu": 4.614, "lattice_angstrom": [[4.7446, 0.0000, 0.0000], [0.0000, 4.7446, 0.0000], [0.0000, 0.0000, 4.2733]], "species": ["Cr", "Fe", "P", "Cl", "Cl"], "fractional_positions": [[0.0000, 0.0000, 0.0000], [0.5000, 0.5000, 0.5000], [0.5000, 0.5000, 0.0000], [0.0000, 0.5000, 0.5000], [0.5000, 0.0000, 0.5000]]}

---

No. 19
{"formula": "CrFeP2Cl", "functional": "PBE", "state": "relaxed", "de_polymorph_mev_per_atom": 292, "crystal_system": "tetragonal", "raw_formation_energy_ev_per_atom": 0.937, "sg": "P4/mmm, No. 123", "dft_energy_ev_per_cell": -26.07, "m_tot_mub_per_fu": 0.560, "lattice_angstrom": [[4.2593, 0.0000, 0.0000], [0.0000, 4.2593, 0.0000], [0.0000, 0.0000, 4.7329]], "species": ["Cr", "Fe", "P", "P", "Cl"], "fractional_positions": [[0.0000, 0.0000, 0.0000], [0.5000, 0.5000, 0.5000], [0.0000, 0.5000, 0.5000], [0.5000, 0.0000, 0.5000], [0.5000, 0.5000, 0.0000]]}

---

No. 20
{"formula": "CrFeP2Cl", "functional": "PBE", "state": "relaxed", "de_polymorph_mev_per_atom": 0, "crystal_system": "tetragonal", "raw_formation_energy_ev_per_atom": 0.644, "sg": "P4/mmm, No. 123", "dft_energy_ev_per_cell": -27.53, "m_tot_mub_per_fu": 4.685, "lattice_angstrom": [[4.4076, 0.0000, 0.0000], [0.0000, 4.4076, 0.0000], [0.0000, 0.0000, 4.8715]], "species": ["Cr", "Fe", "P", "P", "Cl"], "fractional_positions": [[0.0000, 0.0000, 0.0000], [0.5000, 0.5000, 0.5000], [0.0000, 0.5000, 0.0000], [0.5000, 0.0000, 0.0000], [0.0000, 0.0000, 0.5000]]}